(1)
This record from the Alexandria database describes an optimized crystal structure of Sm2Al. The functional is PBE.

The structure in extended XYZ format:
```
12
Lattice="6.669 0.000 0.000 0.000 5.204 0.000 0.000 0.000 9.730" Properties=species:S:1:pos:R:3 pbc="T T T"
Sm 0.177 1.301 1.999
Sm 1.253 1.301 5.601
Sm 2.081 3.903 0.736
Sm 3.157 3.903 6.864
Sm 3.512 1.301 2.865
Sm 4.587 1.301 8.993
Sm 5.416 3.903 4.129
Sm 6.491 3.903 7.730
Al 1.383 1.301 8.735
Al 1.951 3.903 3.870
Al 4.717 1.301 5.859
Al 5.286 3.903 0.995
```

Output
As for the crystal system: orthorhombic. As for the calculated density: 6446 kg/m³. The total moment is 0.00 μB per formula unit. The calculation puts the formation enthalpy at 0 K at -0.260 eV/atom. For the total energy, the calculation gives -4.654 eV/atom. As for the space group: Pnma, No. 62.



(2)
This record from the Alexandria database describes an optimized crystal structure of SmAl. The functional is PBE.

The structure in extended XYZ format:
```
2
Lattice="3.680 0.000 0.000 0.000 3.680 0.000 0.000 0.000 3.680" Properties=species:S:1:pos:R:3 pbc="T T T"
Sm 0.000 0.000 0.000
Al 1.840 1.840 1.840
```

Output
As for the crystal system: cubic. As for the calculated density: 5910 kg/m³. The total moment is 0.00 μB per formula unit. The calculation puts the formation enthalpy at 0 K at -0.373 eV/atom. For the total energy, the calculation gives -4.604 eV/atom. As for the space group: Pm-3m, No. 221.



(3)
This record from the Alexandria database describes an optimized crystal structure of Sm13Al2. The functional is PBE.

The structure in extended XYZ format:
```
15
Lattice="6.806 0.000 0.000 1.058 8.518 0.000 1.713 3.480 8.189" Properties=species:S:1:pos:R:3 pbc="T T T"
Sm 0.000 0.000 0.000
Sm 2.595 6.630 5.965
Sm 1.841 2.482 1.246
Sm 3.662 10.013 4.734
Sm 4.451 8.970 7.969
Sm 3.508 4.899 3.226
Sm 4.901 3.975 6.482
Sm 4.677 8.024 1.708
Sm 6.070 7.100 4.964
Sm 5.127 3.029 0.220
Sm 5.916 1.985 3.456
Sm 7.737 9.517 6.943
Sm 6.983 5.369 2.225
Al 1.861 7.865 3.089
Al 7.717 4.134 5.100
```

Output
As for the crystal system: triclinic. As for the calculated density: 7025 kg/m³. The total moment is 0.00 μB per formula unit. The calculation puts the formation enthalpy at 0 K at -0.054 eV/atom. For the total energy, the calculation gives -4.643 eV/atom. As for the space group: P-1, No. 2.



(4)
This record from the Alexandria database describes an optimized crystal structure of SmAl5. The functional is PBE.

The structure in extended XYZ format:
```
6
Lattice="2.138 -6.245 0.000 2.138 6.245 0.000 0.000 0.000 4.293" Properties=species:S:1:pos:R:3 pbc="T T T"
Sm 0.000 0.000 0.000
Al 2.138 4.061 2.146
Al 2.138 2.238 0.000
Al 2.138 0.000 2.146
Al 2.138 -2.238 0.000
Al 2.138 -4.061 2.146
```

Output
As for the crystal system: orthorhombic. As for the calculated density: 4132 kg/m³. The total moment is 0.00 μB per formula unit. The calculation puts the formation enthalpy at 0 K at -0.223 eV/atom. For the total energy, the calculation gives -4.128 eV/atom. As for the space group: Cmmm, No. 65.



(5)
This record from the Alexandria database describes an optimized crystal structure of SmAl4. The functional is PBE.

The structure in extended XYZ format:
```
10
Lattice="-2.234 3.200 6.892 2.234 -3.200 6.892 2.234 3.200 -6.892" Properties=species:S:1:pos:R:3 pbc="T T T"
Sm 0.000 1.600 1.569
Sm 2.234 1.600 5.324
Al 2.234 0.000 0.000
Al 2.234 -1.600 5.326
Al 2.234 -0.260 2.727
Al 2.234 2.940 -2.727
Al 0.000 0.000 6.892
Al 0.000 0.260 9.620
Al 0.000 3.461 4.165
Al 0.000 4.800 1.566
```

Output
As for the crystal system: orthorhombic. As for the calculated density: 4352 kg/m³. The total moment is 0.00 μB per formula unit. The calculation puts the formation enthalpy at 0 K at -0.351 eV/atom. For the total energy, the calculation gives -4.289 eV/atom. As for the space group: Imma, No. 74.



(6)
This record from the Alexandria database describes an optimized crystal structure of Sm3Al4. The functional is PBE.

The structure in extended XYZ format:
```
7
Lattice="-1.851 2.279 10.041 1.851 -2.279 10.041 1.851 2.279 -10.041" Properties=species:S:1:pos:R:3 pbc="T T T"
Sm 0.000 0.000 0.000
Sm 1.851 0.000 6.152
Sm 0.000 2.279 3.888
Al 1.851 0.000 2.759
Al 0.000 0.000 8.721
Al 0.000 0.000 11.360
Al 0.000 2.279 7.282
```

Output
As for the crystal system: orthorhombic. As for the calculated density: 5479 kg/m³. The total moment is 0.51 μB per formula unit. The calculation puts the formation enthalpy at 0 K at -0.416 eV/atom. For the total energy, the calculation gives -4.577 eV/atom. As for the space group: Immm, No. 71.



(7)
This record from the Alexandria database describes an optimized crystal structure of Sm3Al. The functional is PBE.

The structure in extended XYZ format:
```
4
Lattice="-2.390 2.390 4.960 2.390 -2.390 4.960 2.390 2.390 -4.960" Properties=species:S:1:pos:R:3 pbc="T T T"
Sm 0.000 0.000 0.000
Sm 2.390 0.000 2.480
Sm 0.000 2.390 2.480
Al 0.000 0.000 4.960
```

Output
As for the crystal system: tetragonal. As for the calculated density: 7005 kg/m³. The total moment is 0.00 μB per formula unit. The calculation puts the formation enthalpy at 0 K at -0.149 eV/atom. For the total energy, the calculation gives -4.624 eV/atom. As for the space group: I4/mmm, No. 139.



(8)
This record from the Alexandria database describes an optimized crystal structure of SmAl. The functional is PBE.

The structure in extended XYZ format:
```
16
Lattice="5.930 0.000 0.000 0.000 11.676 0.000 0.000 0.000 5.704" Properties=species:S:1:pos:R:3 pbc="T T T"
Sm 0.568 1.954 1.426
Sm 0.568 3.884 4.278
Sm 1.990 0.141 4.278
Sm 1.990 5.697 1.426
Sm 3.940 5.979 4.278
Sm 3.940 11.536 1.426
Sm 5.361 7.792 1.426
Sm 5.361 9.722 4.278
Al 0.980 7.003 4.278
Al 0.980 10.512 1.426
Al 2.547 8.757 0.000
Al 2.547 8.757 2.852
Al 3.383 2.919 0.000
Al 3.383 2.919 2.852
Al 4.949 1.165 4.278
Al 4.949 4.673 1.426
```

Output
As for the crystal system: orthorhombic. As for the calculated density: 5966 kg/m³. The total moment is 0.00 μB per formula unit. The calculation puts the formation enthalpy at 0 K at -0.406 eV/atom. For the total energy, the calculation gives -4.637 eV/atom. As for the space group: Pbcm, No. 57.



(9)
This record from the Alexandria database describes an optimized crystal structure of Sm2Al. The functional is PBE.

The structure in extended XYZ format:
```
3
Lattice="0.000 2.476 6.932 2.472 0.000 6.932 2.472 2.476 0.000" Properties=species:S:1:pos:R:3 pbc="T T T"
Sm 2.472 2.476 2.030
Sm 2.472 2.476 11.833
Al 2.472 2.476 6.932
```

Output
As for the crystal system: orthorhombic. As for the calculated density: 6414 kg/m³. The total moment is 0.00 μB per formula unit. The calculation puts the formation enthalpy at 0 K at -0.216 eV/atom. For the total energy, the calculation gives -4.609 eV/atom. As for the space group: Fmmm, No. 69.



(10)
This record from the Alexandria database describes an optimized crystal structure of Sm3Al. The functional is PBE.

The structure in extended XYZ format:
```
8
Lattice="7.017 0.000 0.000 -3.508 6.077 0.000 0.000 0.000 5.347" Properties=species:S:1:pos:R:3 pbc="T T T"
Sm 0.000 2.156 1.337
Sm -1.641 4.999 1.337
Sm 1.867 1.078 4.010
Sm 1.641 4.999 1.337
Sm 5.150 1.078 4.010
Sm 3.508 3.921 4.010
Al 0.000 4.051 4.010
Al 3.508 2.026 1.337
```

Output
As for the crystal system: hexagonal. As for the calculated density: 6964 kg/m³. The total moment is 0.00 μB per formula unit. The calculation puts the formation enthalpy at 0 K at -0.187 eV/atom. For the total energy, the calculation gives -4.662 eV/atom. As for the space group: P6_3/mmc, No. 194.



(11)
This record from the Alexandria database describes an optimized crystal structure of Sm3Al4. The functional is PBE.

The structure in extended XYZ format:
```
14
Lattice="2.221 -5.626 0.000 2.221 5.626 0.000 0.000 0.000 13.847" Properties=species:S:1:pos:R:3 pbc="T T T"
Sm 2.221 5.466 10.385
Sm 2.221 2.491 1.426
Sm 2.221 2.491 5.497
Sm 2.221 -2.491 8.350
Sm 2.221 -2.491 12.421
Sm 2.221 -5.466 3.462
Al 0.000 0.000 0.000
Al 0.000 0.000 6.923
Al 2.221 2.273 10.385
Al 2.221 0.744 8.246
Al 2.221 0.744 12.525
Al 2.221 -0.744 1.322
Al 2.221 -0.744 5.601
Al 2.221 -2.273 3.462
```

Output
As for the crystal system: orthorhombic. As for the calculated density: 5366 kg/m³. The total moment is 0.00 μB per formula unit. The calculation puts the formation enthalpy at 0 K at -0.384 eV/atom. For the total energy, the calculation gives -4.546 eV/atom. As for the space group: Cmcm, No. 63.